First-principles (PBE) data for an optimized crystal structure of RbBi, as listed in the Alexandria database.

```
8
Lattice="-5.636 5.636 5.636 5.636 -5.636 5.636 5.636 5.636 -5.636" Properties=species:S:1:pos:R:3 pbc="T T T"
Rb 3.306 3.306 -3.306
Rb 3.306 -3.306 3.306
Rb 2.330 2.330 2.330
Rb -3.306 3.306 3.306
Bi 1.132 1.132 -1.132
Bi 1.132 -1.132 1.132
Bi -1.132 1.132 1.132
Bi 4.504 4.504 4.504
```

- final energy (eV/atom) = -2.37
- energy of formation from the pure elements (eV/f.u.) = 0.12
- space group = I-43m, No. 217
- crystal system = cubic